Entry 1:
VASP calculation (PBE) on crystalline La2SmHo4 at its relaxed geometry.

Geometry as POSCAR:
```
La2SmHo4
1.0
-2.3074 2.3074 11.3102
2.3074 -2.3074 11.3102
2.3074 2.3074 -11.3102
La Sm Ho
2 1 4
direct
0.0986 0.0986 0.0000
0.9014 0.9014 0.0000
0.5000 0.5000 0.0000
0.2500 0.7500 0.5000
0.3595 0.3595 0.0000
0.6405 0.6405 0.0000
0.7500 0.2500 0.5000
```

Computed properties:
Energy above the lowest structure with this stoichiometry: 227 meV/atom
ΔE_f: 1.76 eV/f.u.
Volume: 241 Å³/f.u.
Spin magnetization: 0.0 μB per formula unit

=====

Entry 2:
VASP calculation (PBE) on crystalline CsTiTlPb2 at its relaxed geometry.

Geometry as POSCAR:
```
CsTiTlPb2
1.0
5.5417 0.0000 0.0000
0.0000 5.5417 0.0000
0.0000 0.0000 5.6826
Cs Ti Tl Pb
1 1 1 2
direct
0.0000 0.0000 0.0000
0.5000 0.5000 0.5000
0.5000 0.5000 0.0000
0.0000 0.5000 0.5000
0.5000 0.0000 0.5000
```

Computed properties:
ΔE_f: 0.06 eV/f.u.
Volume: 175 Å³/f.u.
Spin magnetization: 0.0 μB per formula unit

=====

Entry 3:
VASP calculation (PBE) on crystalline Cd2RuPt at its relaxed geometry.

Geometry as POSCAR:
```
Cd2RuPt
1.0
4.7148 -1.4316 0.0000
4.7148 1.4316 0.0000
-0.8207 0.0000 5.0757
Cd Ru Pt
2 1 1
direct
0.2492 0.2492 0.2475
0.7508 0.7508 0.7525
0.5000 0.5000 0.0000
0.0000 0.0000 0.5000
```

Computed properties:
ΔE_f: 0.50 eV/f.u.
Volume: 69 Å³/f.u.
Spin magnetization: 0.5 μB per formula unit

=====

Entry 4:
VASP calculation (PBE) on crystalline Ba2Cu2PdO6 at its relaxed geometry.

Geometry as POSCAR:
```
Ba2Cu2PdO6
1.0
2.9508 1.7037 5.4489
-2.9508 1.7037 5.4489
0.0000 -3.4073 5.4489
Ba Cu Pd O
2 2 1 6
direct
0.2211 0.2211 0.2211
0.7789 0.7789 0.7789
0.4124 0.4124 0.4124
0.5876 0.5876 0.5876
0.0000 0.0000 0.0000
0.2240 0.7647 0.7647
0.2353 0.2353 0.7760
0.2353 0.7760 0.2353
0.7647 0.2240 0.7647
0.7647 0.7647 0.2240
0.7760 0.2353 0.2353
```

Computed properties:
Formation energy without anion corrections: -1.2555 eV per atom
Volume: 164 Å³/f.u.
Spin magnetization: 2.1 μB per formula unit

=====

Entry 5:
VASP calculation (PBE) on crystalline Y2CuRu2 at its relaxed geometry.

Geometry as POSCAR:
```
Y2CuRu2
1.0
6.8074 0.0000 0.0000
0.0000 6.8074 0.0000
0.0000 0.0000 4.2671
Y Cu Ru
4 2 4
direct
0.1785 0.3215 0.0000
0.3215 0.8215 0.0000
0.6785 0.1785 0.0000
0.8215 0.6785 0.0000
0.0000 0.0000 0.5000
0.5000 0.5000 0.5000
0.1294 0.6294 0.5000
0.3706 0.1294 0.5000
0.6294 0.8706 0.5000
0.8706 0.3706 0.5000
```

Computed properties:
ΔE_f: -0.88 eV/f.u.
Volume: 99 Å³/f.u.
Spin magnetization: 0.0 μB per formula unit

=====

Entry 6:
VASP calculation (PBE) on crystalline KOs2Rh at its relaxed geometry.

Geometry as POSCAR:
```
KOs2Rh
1.0
2.7225 0.0000 0.0000
0.0000 4.7568 0.0000
0.0000 0.0000 5.2072
K Os Rh
1 2 1
direct
0.0000 0.0000 0.0000
0.0000 0.5000 0.5000
0.5000 0.0000 0.5000
0.5000 0.5000 0.0000
```

Computed properties:
Energy above the lowest structure with this stoichiometry: 650 meV/atom
ΔE_f: 5.24 eV/f.u.
Volume: 67 Å³/f.u.
Spin magnetization: 0.1 μB per formula unit